# 1
Entry from the Alexandria database: crystalline Mg6Te5O16 at its relaxed geometry (GGA-PBEsol).

Unit cell a=11.079 b=10.258 c=12.819 alpha=90.00 beta=90.00 gamma=90.00
Space group Pnma (No. 62)
Unique sites:
1 Mg 0.014 0.074 0.107 [8 per cell]
2 Mg 0.246 0.571 0.009 [8 per cell]
3 Mg 0.249 0.592 0.270 [8 per cell]
4 Te 0.010 0.541 0.634 [8 per cell]
5 Te 0.031 0.750 0.140 [4 per cell]
6 Te 0.198 0.750 0.815 [4 per cell]
7 Te 0.220 0.750 0.510 [4 per cell]
8 O 0.025 0.750 0.829 [4 per cell]
9 O 0.057 0.612 0.043 [8 per cell]
10 O 0.076 0.518 0.245 [8 per cell]
11 O 0.103 0.545 0.455 [8 per cell]
12 O 0.138 0.079 0.643 [8 per cell]
13 O 0.174 0.556 0.851 [8 per cell]
14 O 0.185 0.110 0.058 [8 per cell]
15 O 0.193 0.750 0.181 [4 per cell]
16 O 0.217 0.250 0.446 [4 per cell]
17 O 0.221 0.250 0.870 [4 per cell]

Output
- Energy relative to the elements, uncorrected: -42.9 kcal/mol of atoms

***

# 2
Entry from the Alexandria database: crystalline KNa3Pb at its relaxed geometry (GGA-PBEsol).

Unit cell a=6.005 b=6.005 c=6.005 alpha=90.00 beta=90.00 gamma=90.00
Space group Pm-3m (No. 221)
Unique sites:
1 K 0.000 0.000 0.000 [1 per cell]
2 Na 0.000 0.500 0.500 [3 per cell]
3 Pb 0.500 0.500 0.500 [1 per cell]

Output
- Total energy: -9.49 eV per formula unit

***

# 3
Entry from the Alexandria database: crystalline TaCd2Te at its relaxed geometry (GGA-PBEsol).

Unit cell a=6.927 b=6.927 c=6.927 alpha=90.00 beta=90.00 gamma=90.00
Space group F-43m (No. 216)
Unique sites:
1 Ta 0.000 0.000 0.000 [4 per cell]
2 Cd 0.000 0.000 0.500 [4 per cell]
3 Cd 0.250 0.250 0.250 [4 per cell]
4 Te 0.250 0.250 0.750 [4 per cell]

Output
- Energy relative to the elements, uncorrected: 12.1 kcal/mol of atoms

***

# 4
Entry from the Alexandria database: crystalline ZnMoBr at its relaxed geometry (GGA-PBEsol).

Unit cell a=3.0790 b=3.0790 c=6.4091 alpha=90.00 beta=90.00 gamma=120.00
Space group P3m1 (No. 156)
Unique sites:
1 Zn 0.0000 0.0000 0.0000 [1 per cell]
2 Mo 0.6667 0.3333 0.3096 [1 per cell]
3 Br 0.3333 0.6667 0.5955 [1 per cell]

Output
- Energy relative to the elements, uncorrected: 6.1 kcal/mol of atoms
- Energy relative to the lowest polymorph listed for this composition: 0.0000 eV/atom

***

# 5
Entry from the Alexandria database: crystalline BaMgGa2 at its relaxed geometry (GGA-PBEsol).

Unit cell a=4.558 b=7.169 c=6.805 alpha=90.00 beta=109.53 gamma=90.00
Space group P2_1/m (No. 11)
Unique sites:
1 Ba 0.058 0.250 0.116 [2 per cell]
2 Mg 0.229 0.750 0.457 [2 per cell]
3 Ga 0.348 0.071 0.697 [4 per cell]

Output
- Total energy: -11.78 eV per formula unit

***

# 6
Entry from the Alexandria database: crystalline Rb2NbCl6 at its relaxed geometry (GGA-PBEsol).

Unit cell a=7.050 b=7.050 c=9.955 alpha=90.00 beta=90.00 gamma=90.00
Space group I4/mmm (No. 139)
Unique sites:
1 Rb 0.000 0.500 0.250 [4 per cell]
2 Nb 0.000 0.000 0.000 [2 per cell]
3 Cl 0.000 0.000 0.242 [4 per cell]
4 Cl 0.242 0.242 0.000 [8 per cell]

Output
- Energy relative to the elements, uncorrected: -37.1 kcal/mol of atoms

***

# 7
Entry from the Alexandria database: crystalline SrCa2Sb at its relaxed geometry (GGA-PBEsol).

Unit cell a=4.337 b=5.412 c=11.909 alpha=90.00 beta=90.00 gamma=90.00
Space group Imm2 (No. 44)
Unique sites:
1 Sr 0.000 0.000 0.000 [2 per cell]
2 Ca 0.000 0.000 0.407 [2 per cell]
3 Ca 0.000 0.500 0.206 [2 per cell]
4 Sb 0.000 0.500 0.715 [2 per cell]

Output
- Energy relative to the elements, uncorrected: -11.4 kcal/mol of atoms

***

# 8
Entry from the Alexandria database: crystalline Ag2HgPt at its relaxed geometry (GGA-PBEsol).

Unit cell a=9.655 b=2.924 c=4.878 alpha=90.00 beta=101.01 gamma=90.00
Space group C2/m (No. 12)
Unique sites:
1 Ag 0.245 0.000 0.243 [4 per cell]
2 Hg 0.000 0.000 0.500 [2 per cell]
3 Pt 0.000 0.500 0.000 [2 per cell]

Output
- Total energy: -14.20 eV per formula unit

***

Result set for magnetization: 0.000, 0.000, 0.001, 0.000, 0.000, 2.003, 0.016, 0.000 Bohr magnetons per cell, one per record in the order listed.